[1]
Density functional theory data (meta-GGA SCAN) for a PBEsol-optimized structure of PbI2Cl.

```
PbI2Cl
1.0
0.000 3.875 3.875
3.875 0.000 3.875
3.875 3.875 0.000
Pb I Cl
1 2 1
Direct
0.000 0.000 0.000 Pb
0.250 0.250 0.250 I
0.750 0.750 0.750 I
0.500 0.500 0.500 Cl
```

## Properties
Formation energy from raw total energies   -0.213 eV/atom
Space group   No. 225
Theoretical density   7.085 Mg/m³

[2]
Density functional theory data (meta-GGA SCAN) for a PBEsol-optimized structure of LiRe2.

```
LiRe2
1.0
1.344 -7.618 0.000
1.344 7.618 0.000
0.000 0.000 4.356
Li Re
2 4
Direct
0.221 0.779 0.750 Li
0.779 0.221 0.250 Li
0.104 0.896 0.250 Re
0.447 0.553 0.250 Re
0.553 0.447 0.750 Re
0.896 0.104 0.750 Re
```

## Properties
Energy above the lowest structure with this stoichiometry   229 meV per atom
Space group   No. 63
Theoretical density   14.129 Mg/m³
Energy relative to the elements   0.249 eV/atom

[3]
Density functional theory data (meta-GGA SCAN) for a PBEsol-optimized structure of Mg2Be3P3H13O19.

```
Mg2Be3P3H13O19
1.0
9.887 0.000 0.000
-4.943 8.562 0.000
0.000 0.000 8.034
Mg Be P H O
4 6 6 26 38
Direct
0.333 0.667 0.000 Mg
0.333 0.667 0.365 Mg
0.667 0.333 0.500 Mg
0.667 0.333 0.865 Mg
0.076 0.194 0.829 Be
0.118 0.924 0.829 Be
0.194 0.118 0.329 Be
0.806 0.882 0.829 Be
0.882 0.076 0.329 Be
0.924 0.806 0.329 Be
0.122 0.315 0.151 P
0.193 0.878 0.151 P
0.315 0.193 0.651 P
0.685 0.807 0.151 P
0.807 0.122 0.651 P
0.878 0.685 0.651 P
0.000 0.000 0.008 H
0.000 0.000 0.508 H
0.070 0.461 0.891 H
0.076 0.624 0.832 H
0.114 0.394 0.520 H
0.158 0.536 0.641 H
0.280 0.886 0.520 H
0.376 0.452 0.832 H
0.378 0.842 0.641 H
0.390 0.930 0.891 H
0.394 0.280 0.020 H
0.452 0.076 0.332 H
0.461 0.390 0.391 H
0.464 0.622 0.641 H
0.536 0.378 0.141 H
0.539 0.610 0.891 H
0.548 0.924 0.832 H
0.606 0.720 0.520 H
0.610 0.070 0.391 H
0.622 0.158 0.141 H
0.624 0.548 0.332 H
0.720 0.114 0.020 H
0.842 0.464 0.141 H
0.886 0.606 0.020 H
0.924 0.376 0.332 H
0.930 0.539 0.391 H
0.000 0.000 0.385 O
0.000 0.000 0.885 O
0.008 0.740 0.786 O
0.014 0.804 0.164 O
0.051 0.292 0.974 O
0.138 0.568 0.845 O
0.162 0.509 0.522 O
0.196 0.210 0.164 O
0.210 0.014 0.664 O
0.240 0.489 0.178 O
0.241 0.949 0.974 O
0.249 0.760 0.178 O
0.260 0.269 0.786 O
0.269 0.008 0.286 O
0.292 0.241 0.474 O
0.346 0.838 0.522 O
0.430 0.862 0.845 O
0.432 0.570 0.845 O
0.489 0.249 0.678 O
0.491 0.654 0.522 O
0.509 0.346 0.022 O
0.511 0.751 0.178 O
0.568 0.430 0.345 O
0.570 0.138 0.345 O
0.654 0.162 0.022 O
0.708 0.759 0.974 O
0.731 0.992 0.786 O
0.740 0.731 0.286 O
0.751 0.240 0.678 O
0.759 0.051 0.474 O
0.760 0.511 0.678 O
0.790 0.986 0.164 O
0.804 0.790 0.664 O
0.838 0.491 0.022 O
0.862 0.432 0.345 O
0.949 0.708 0.474 O
0.986 0.196 0.664 O
0.992 0.260 0.286 O
```

## Properties
Space group   No. 173
Theoretical density   2.372 Mg/m³

[4]
Density functional theory data (meta-GGA SCAN) for a PBEsol-optimized structure of MnAg3.

```
MnAg3
1.0
1.421 0.821 9.131
-1.421 0.821 9.131
0.000 -1.641 9.131
Mn Ag
1 3
Direct
0.000 0.000 0.000 Mn
0.253 0.253 0.253 Ag
0.500 0.500 0.500 Ag
0.747 0.747 0.747 Ag
```

## Properties
Space group   No. 166
Theoretical density   9.838 Mg/m³
Energy relative to the elements   0.037 eV/atom

[5]
Density functional theory data (meta-GGA SCAN) for a PBEsol-optimized structure of CsTaPtAu2.

```
CsTaPtAu2
1.0
5.300 0.000 0.000
0.000 5.300 0.000
0.000 0.000 5.085
Cs Ta Pt Au
1 1 1 2
Direct
0.000 0.000 0.000 Cs
0.500 0.500 0.500 Ta
0.000 0.000 0.500 Pt
0.000 0.500 0.000 Au
0.500 0.000 0.000 Au
```

## Properties
Space group   No. 123
Theoretical density   10.495 Mg/m³
Energy relative to the elements   2.598 eV/atom

[6]
Density functional theory data (meta-GGA SCAN) for a PBEsol-optimized structure of Cu2SbMo.

```
Cu2SbMo
1.0
3.783 0.000 0.000
0.000 3.882 0.000
0.000 0.000 4.005
Cu Sb Mo
2 1 1
Direct
0.000 0.000 0.000 Cu
0.500 0.000 0.500 Cu
0.000 0.500 0.500 Sb
0.500 0.500 0.000 Mo
```

## Properties
Formation energy from raw total energies   0.278 eV/atom
Space group   No. 47
Theoretical density   9.734 Mg/m³

Looking at final energy for the records above, in order, we have -39.5234 -47.9464 -7.4382 -28.0522 -59.9823 -25.3577 eV/atom.
Looking at Fermi-level density of states for the records above, in order, we have 1.139 0.590 0.000 0.456 0.684 0.676 states/eV/atom.